# 1
Material: TlPPd5
Method: DFT, PBE
State: optimized geometry

Lattice parameters (Å, degrees): 4.0046 4.0046 7.1309 90.00 90.00 90.00
Last column: nearest neighbours and their distance in Å.
Space group P4/mmm (No. 123)
One atom of each set of equivalent atoms:
Tl: 0.0000 0.0000 0.0000 (multiplicity 1)  12 Pd 2.83-2.95
P: 0.5000 0.5000 0.5000 (multiplicity 1)  8 Pd 2.44
Pd: 0.0000 0.5000 0.3037 (multiplicity 4)  2 P 2.44
Pd: 0.5000 0.5000 0.0000 (multiplicity 1)  4 Tl 2.83, 8 Pd 2.95

Calculated values
* energy: -36.60 eV per cell

***

# 2
Material: Na2Pa4Ir3
Method: DFT, PBE
State: optimized geometry

Lattice parameters (Å, degrees): 8.3424 2.9748 8.3473 90.00 119.95 90.00
Last column: nearest neighbours and their distance in Å.
Space group Pm (No. 6)
One atom of each set of equivalent atoms:
Na: 0.0000 0.0000 0.0000 (multiplicity 1)  3 Pa 2.77-2.78, 2 Na 2.97
Na: 0.3332 0.5000 0.6667 (multiplicity 1)  3 Ir 2.96, 2 Na 2.97, 6 Pa 3.04
Pa: 0.0227 0.0000 0.6795 (multiplicity 1)  3 Na 2.77-3.04, 3 Pa 2.93-2.97
Pa: 0.3209 0.0000 0.3435 (multiplicity 1)  3 Na 2.78-3.04, 3 Pa 2.93-2.97
Pa: 0.6567 0.0000 0.9778 (multiplicity 1)  3 Na 2.78-3.04, 3 Pa 2.93-2.97
Pa: 0.6665 0.0000 0.3333 (multiplicity 1)  5 Pa 2.93-2.97, 6 Ir 2.97
Ir: 0.3531 0.5000 0.0308 (multiplicity 1)  3 Na 2.96-3.19, 8 Pa 2.97-3.22, 2 Ir 2.97
Ir: 0.6776 0.5000 0.6470 (multiplicity 1)  3 Na 2.96-3.20, 8 Pa 2.97-3.22, 2 Ir 2.97
Ir: 0.9694 0.5000 0.3226 (multiplicity 1)  3 Na 2.96-3.20, 8 Pa 2.97-3.21, 2 Ir 2.97

Calculated values
* energy: -66.69 eV per cell

***

# 3
Material: ScTc2
Method: DFT, PBE
State: optimized geometry

Lattice parameters (Å, degrees): 5.2360 5.2551 7.4026 90.00 90.00 90.00
Last column: nearest neighbours and their distance in Å.
Space group Imma (No. 74)
One atom of each set of equivalent atoms:
Sc: 0.0000 0.2500 0.1250 (multiplicity 4)  12 Tc 3.07-3.08, 4 Sc 3.21
Tc: 0.0000 0.0000 0.5000 (multiplicity 4)  6 Tc 2.62-2.63
Tc: 0.2500 0.2500 0.7500 (multiplicity 4)  6 Tc 2.62

Calculated values
* calculated formation energy: -0.27 eV per atom
* energy relative to the lowest polymorph listed for this composition: 36 meV per atom
* energy: -111.40 eV per cell

***

# 4
Material: PuPaGe
Method: DFT, PBE
State: optimized geometry

Lattice parameters (Å, degrees): 6.8270 6.8270 6.8270 90.00 90.00 90.00
Last column: nearest neighbours and their distance in Å.
Space group F-43m (No. 216)
One atom of each set of equivalent atoms:
Pu: 0.0000 0.0000 0.0000 (multiplicity 4)  4 Ge 2.96
Pa: 0.0000 0.0000 0.5000 (multiplicity 4)  4 Ge 2.96
Ge: 0.2500 0.2500 0.7500 (multiplicity 4)  4 Pu 2.96, 4 Pa 2.96

Calculated values
* energy relative to the lowest polymorph listed for this composition: 0 meV per atom
* energy: -113.26 eV per cell

***

# 5
Material: HfGeB
Method: DFT, PBE
State: optimized geometry

Lattice parameters (Å, degrees): 5.6771 5.6771 5.6771 90.00 90.00 90.00
Last column: nearest neighbours and their distance in Å.
Space group F-43m (No. 216)
One atom of each set of equivalent atoms:
Hf: 0.0000 0.0000 0.0000 (multiplicity 4)  4 B 2.46
Ge: 0.0000 0.0000 0.5000 (multiplicity 4)  4 B 2.46
B: 0.2500 0.2500 0.7500 (multiplicity 4)  4 Ge 2.46, 4 Hf 2.46

Calculated values
* energy: -81.58 eV per cell

***

# 6
Material: YHoHg6
Method: DFT, PBE
State: optimized geometry

Lattice parameters (Å, degrees): 6.5933 6.5933 4.9970 90.00 90.00 120.00
Last column: nearest neighbours and their distance in Å.
Space group P-6m2 (No. 187)
One atom of each set of equivalent atoms:
Y: 0.0000 0.0000 0.0000 (multiplicity 1)  12 Hg 3.14-3.30
Ho: 0.6667 0.3333 0.5000 (multiplicity 1)  12 Hg 3.14-3.30
Hg: 0.9999 0.4999 0.0000 (multiplicity 3)  8 Hg 3.14-3.30, 2 Ho 3.14, 2 Y 3.30
Hg: 0.1671 0.3341 0.5000 (multiplicity 3)  8 Hg 3.14-3.30, 2 Y 3.14, 2 Ho 3.30

Calculated values
* calculated formation energy: -0.35 eV per atom
* energy: -15.60 eV per cell

***

# 7
Material: ZnGaIr2
Method: DFT, PBE
State: optimized geometry

Lattice parameters (Å, degrees): 6.1756 6.1756 6.1756 90.00 90.00 90.00
Last column: nearest neighbours and their distance in Å.
Space group F-43m (No. 216)
One atom of each set of equivalent atoms:
Zn: 0.0000 0.0000 0.0000 (multiplicity 4)  4 Ir 2.67, 4 Ga 2.67
Ga: 0.2500 0.2500 0.7500 (multiplicity 4)  4 Ir 2.67, 4 Zn 2.67
Ir: 0.0000 0.0000 0.5000 (multiplicity 4)  4 Ir 2.67, 4 Ga 2.67
Ir: 0.2500 0.2500 0.2500 (multiplicity 4)  4 Ir 2.67, 4 Zn 2.67

Calculated values
* energy relative to the lowest polymorph listed for this composition: 410 meV per atom
* energy: -86.93 eV per cell

***

# 8
Material: Ta2Ge3Mo4C3
Method: DFT, PBE
State: optimized geometry

Lattice parameters (Å, degrees): 9.5223 5.5098 12.9776 90.00 104.26 90.00
Last column: nearest neighbours and their distance in Å.
Space group C2/c (No. 15)
One atom of each set of equivalent atoms:
Ta: 0.0538 0.0855 0.4040 (multiplicity 8)  3 C 2.17
Ge: 0.0000 0.4349 0.2500 (multiplicity 4)  4 Mo 2.69-2.70, 2 Ta 2.73
Ge: 0.1756 0.0936 0.7492 (multiplicity 8)  4 Mo 2.69-2.73, 2 Ta 2.74-2.75
Mo: 0.1139 0.4246 0.5885 (multiplicity 8)  3 C 2.15-2.17
Mo: 0.2167 0.4128 0.9118 (multiplicity 8)  3 C 2.15-2.17
C: 0.0800 0.2415 0.0000 (multiplicity 8)  4 Mo 2.15-2.17, 2 Ta 2.17
C: 0.2500 0.2500 0.5000 (multiplicity 4)  4 Mo 2.16, 2 Ta 2.17

Calculated values
* energy: -444.93 eV per cell

***

# 9
Material: NdUGe
Method: DFT, PBE
State: optimized geometry

Lattice parameters (Å, degrees): 7.0054 7.0054 7.0054 90.00 90.00 90.00
Last column: nearest neighbours and their distance in Å.
Space group F-43m (No. 216)
One atom of each set of equivalent atoms:
Nd: 0.0000 0.0000 0.0000 (multiplicity 4)  4 U 3.03
U: 0.2500 0.2500 0.7500 (multiplicity 4)  4 Ge 3.03, 4 Nd 3.03
Ge: 0.0000 0.0000 0.5000 (multiplicity 4)  4 U 3.03

Calculated values
* energy relative to the lowest polymorph listed for this composition: 0 meV per atom
* energy: -74.59 eV per cell

***

# 10
Material: PrNdAg4
Method: DFT, PBE
State: optimized geometry

Lattice parameters (Å, degrees): 4.8175 7.0545 8.2508 90.00 90.00 90.00
Last column: nearest neighbours and their distance in Å.
Space group Imm2 (No. 44)
One atom of each set of equivalent atoms:
Pr: 0.0000 0.0000 0.0000 (multiplicity 2)  12 Ag 3.20-3.39, 2 Nd 3.57
Nd: 0.0000 0.5000 0.9312 (multiplicity 2)  12 Ag 3.20-3.39, 2 Pr 3.57
Ag: 0.0000 0.2120 0.6310 (multiplicity 4)  4 Ag 2.78-2.99
Ag: 0.0000 0.2879 0.3001 (multiplicity 4)  4 Ag 2.78-2.99

Calculated values
* calculated formation energy: -0.28 eV per atom
* energy: -45.07 eV per cell

***

# 11
Material: ErGaNiPt
Method: DFT, PBE
State: optimized geometry

Lattice parameters (Å, degrees): 4.2674 4.2674 8.8644 90.00 90.00 120.00
Last column: nearest neighbours and their distance in Å.
Space group P-6m2 (No. 187)
One atom of each set of equivalent atoms:
Er: 0.0000 0.0000 0.0000 (multiplicity 1)  6 Pt 2.91, 2 Ni 2.95
Er: 0.3333 0.6667 0.5000 (multiplicity 1)  2 Pt 2.88, 6 Ni 2.88
Ga: 0.6667 0.3333 0.2637 (multiplicity 2)  3 Ni 2.54, 3 Pt 2.58
Ni: 0.0000 0.0000 0.3325 (multiplicity 2)  3 Ga 2.54, 3 Pt 2.83
Pt: 0.3333 0.6667 0.1756 (multiplicity 2)  3 Ga 2.58, 3 Ni 2.83, 1 Er 2.88

Calculated values
* energy relative to the lowest polymorph listed for this composition: 7 meV per atom
* energy: -45.07 eV per cell

***

# 12
Material: BaNaTmS3
Method: DFT, PBE
State: optimized geometry

Lattice parameters (Å, degrees): 8.3704 4.1754 9.2196 90.00 107.22 90.00
Last column: nearest neighbours and their distance in Å.
Space group P2_1/m (No. 11)
One atom of each set of equivalent atoms:
Ba: 0.2259 0.2500 0.2497 (multiplicity 2)  7 S 3.17-3.44
Na: 0.0910 0.2500 0.5871 (multiplicity 2)  4 S 2.60-2.78, 2 Na 2.79
Tm: 0.3234 0.7500 0.8489 (multiplicity 2)  6 S 2.68-2.78
S: 0.1134 0.2500 0.8741 (multiplicity 2)  1 Na 2.60, 2 Tm 2.78
S: 0.2550 0.7500 0.5359 (multiplicity 2)  3 Na 2.62-2.78, 1 Tm 2.77
S: 0.4595 0.7500 0.1509 (multiplicity 2)  3 Tm 2.68-2.77

Calculated values
* energy relative to the lowest polymorph listed for this composition: 0 meV per atom
* energy: -61.29 eV per cell